Record 1
Ho5ErSc2 (PBE, optimized geometry); calculated formation energy = 0.021 eV per atom
1.0
0.000 5.484 6.108
3.531 0.000 6.108
3.531 5.484 0.000
Ho Er Sc
5 1 2
Direct
0.000 0.000 0.000
0.416 0.416 0.084
0.497 0.996 0.503
0.916 0.916 0.584
0.996 0.497 0.004
0.500 0.500 0.500
0.414 0.914 0.086
0.914 0.414 0.586

=====

Record 2
ThSiTc (PBE, optimized geometry); raw formation energy = -0.631 eV/atom
1.0
4.310 0.000 0.000
0.000 4.310 0.000
0.000 0.000 6.782
Th Si Tc
2 2 2
Direct
0.250 0.250 0.187
0.750 0.750 0.813
0.250 0.250 0.687
0.750 0.750 0.313
0.250 0.750 0.500
0.750 0.250 0.500

=====

Record 3
Ti3VN (PBE, optimized geometry); raw formation energy = 1.568 eV/atom
1.0
4.460 0.000 0.000
0.000 4.460 0.000
0.000 0.000 4.460
Ti V N
3 1 1
Direct
0.000 0.000 0.500
0.000 0.500 0.000
0.500 0.000 0.000
0.000 0.000 0.000
0.500 0.500 0.500

=====

no.,magnetization (Bohr magnetons per cell),final energy (eV/atom)
1,0.00,-4.993
2,0.00,-8.368
3,1.62,-6.658